Crystalline LaAlFe2 at its relaxed geometry. Source: the Alexandria database, functional PBE.

Cell lengths 4.5238, 4.5238, 17.0645 Å; angles 90.00, 90.00, 90.00 degrees
Space group I-42d (No. 122)
Unique sites:
La1 0.0000 0.0000 0.0000 x4
Al1 0.0000 0.0000 0.5000 x4
Fe1 0.0394 0.7500 0.6250 x8

Spin magnetization: 3.66 μB per formula unit
DOS(E_F): 4.08 states/eV/f.u.
Crystal system: tetragonal
E_form: 1.1 eV per formula unit
Theoretical density: 5.28 g/cm³